Record 1
# CoIr3 SCAN single point on PBEsol structure
data_CoIr3
_chemical_formula_sum 'Co2 Ir6'
_cell_length_a 5.3666
_cell_length_b 5.3666
_cell_length_c 4.2471
_cell_angle_alpha 90.00
_cell_angle_beta 90.00
_cell_angle_gamma 120.00
_space_group_name_H-M_alt 'P 63/m m c'
_space_group_IT_number 194
_space_group_name_Hall '-P 6c 2c'
loop_
_atom_site_label
_atom_site_fract_x
_atom_site_fract_y
_atom_site_fract_z
Co1 0.3333 0.6667 0.2500
Ir1 0.1704 0.3408 0.7500
# * raw total energy: -57.610 eV/atom
# * N(E_F): 0.981 states/eV per atom



Record 2
# CaOsPb SCAN single point on PBEsol structure
data_CaOsPb
_chemical_formula_sum 'Ca4 Os4 Pb4'
_cell_length_a 6.5912
_cell_length_b 6.5912
_cell_length_c 6.5912
_cell_angle_alpha 90.00
_cell_angle_beta 90.00
_cell_angle_gamma 90.00
_space_group_name_H-M_alt 'F -4 3 m'
_space_group_IT_number 216
_space_group_name_Hall 'F -4 2 3'
loop_
_atom_site_label
_atom_site_fract_x
_atom_site_fract_y
_atom_site_fract_z
Ca1 0.0000 0.0000 0.0000
Os1 0.2500 0.2500 0.7500
Pb1 0.0000 0.0000 0.5000
# * raw total energy: -52.039 eV/atom
# * N(E_F): 0.538 states/eV per atom



Look up the N(E_F) of the first one.
0.981 states/eV per atom



Copy entry 2 word for word.
# CaOsPb SCAN single point on PBEsol structure
data_CaOsPb
_chemical_formula_sum 'Ca4 Os4 Pb4'
_cell_length_a 6.5912
_cell_length_b 6.5912
_cell_length_c 6.5912
_cell_angle_alpha 90.00
_cell_angle_beta 90.00
_cell_angle_gamma 90.00
_space_group_name_H-M_alt 'F -4 3 m'
_space_group_IT_number 216
_space_group_name_Hall 'F -4 2 3'
loop_
_atom_site_label
_atom_site_fract_x
_atom_site_fract_y
_atom_site_fract_z
Ca1 0.0000 0.0000 0.0000
Os1 0.2500 0.2500 0.7500
Pb1 0.0000 0.0000 0.5000
# * raw total energy: -52.039 eV/atom
# * N(E_F): 0.538 states/eV per atom



What is the raw total energy in the second record?
-52.039 eV/atom